DFT (GGA-PBEsol) results for a geometry-optimized TlSnBiRu2 structure.

Lattice parameters (Å, degrees): 4.8980 4.8980 5.2934 90.00 90.00 90.00
With the nearest neighbours (Å) after each atom.
Fractional positions:
Ru1 0.0000 0.5000 0.0000  2 Sn 2.45
Ru2 0.5000 0.0000 0.0000  2 Sn 2.45
Tl1 0.0000 0.0000 0.5000  2 Sn 2.65
Bi1 0.5000 0.5000 0.5000  4 Tl 3.46, 8 Ru 3.61
Sn1 0.0000 0.0000 0.0000  4 Ru 2.45, 2 Tl 2.65

Computed properties:
Its formation energy from the elements is 1.417 eV per atom. As for the space-group type: No. 123.


DFT (GGA-PBEsol) results for a geometry-optimized SrBi2Ru2 structure.

Lattice parameters (Å, degrees): 4.8385 4.8385 6.0878 113.42 113.42 90.00
With the nearest neighbours (Å) after each atom.
Fractional positions:
Ru1 0.3862 0.3862 0.7724  1 Ru 2.29
Ru2 0.6138 0.6138 0.2276  1 Ru 2.29
Bi1 0.2500 0.7500 0.5000  4 Ru 2.78
Bi2 0.7500 0.2500 0.5000  4 Ru 2.78
Sr1 0.0000 0.0000 0.0000  8 Bi 3.49, 10 Ru 3.61-3.89

Computed properties:
Its formation energy from the elements is 0.069 eV per atom. As for the space-group type: No. 139.


DFT (GGA-PBEsol) results for a geometry-optimized SrBi2Ru structure.

Lattice parameters (Å, degrees): 6.4287 6.6985 6.6985 76.69 61.32 61.32
With the nearest neighbours (Å) after each atom.
Fractional positions:
Ru1 0.7500 0.5000 0.5000  4 Bi 2.68
Ru2 0.0000 0.0000 0.0000  4 Bi 2.68
Bi1 0.0535 0.0715 0.5715  2 Ru 2.68
Bi2 0.6965 0.9285 0.4285  2 Ru 2.68
Bi3 0.3750 0.5715 0.9285  2 Ru 2.68
Bi4 0.8750 0.4285 0.0715  2 Ru 2.68
Sr1 0.2500 0.5000 0.5000  2 Ru 3.21, 8 Bi 3.48-3.51
Sr2 0.5000 0.0000 0.0000  2 Ru 3.21, 8 Bi 3.48-3.51

Computed properties:
Its formation energy from the elements is -0.038 eV per atom. As for the space-group type: No. 122.


DFT (GGA-PBEsol) results for a geometry-optimized SrBiRu3 structure.

Lattice parameters (Å, degrees): 4.7849 4.7849 4.7849 90.00 90.00 90.00
With the nearest neighbours (Å) after each atom.
Fractional positions:
Ru1 0.0000 0.5000 0.0000  2 Sr 2.39
Ru2 0.0000 0.0000 0.5000  2 Sr 2.39
Ru3 0.5000 0.0000 0.0000  2 Sr 2.39
Bi1 0.5000 0.5000 0.5000  12 Ru 3.38
Sr1 0.0000 0.0000 0.0000  6 Ru 2.39

Computed properties:
Its formation energy from the elements is 2.430 eV per atom. As for the space-group type: No. 221.


DFT (GGA-PBEsol) results for a geometry-optimized SrBiRu3 structure.

Lattice parameters (Å, degrees): 4.9813 4.9813 4.9813 90.00 90.00 90.00
With the nearest neighbours (Å) after each atom.
Fractional positions:
Ru1 0.0000 0.5000 0.0000  2 Bi 2.49
Ru2 0.0000 0.0000 0.5000  2 Bi 2.49
Ru3 0.5000 0.0000 0.0000  2 Bi 2.49
Bi1 0.0000 0.0000 0.0000  6 Ru 2.49
Sr1 0.5000 0.5000 0.5000  12 Ru 3.52

Computed properties:
Its formation energy from the elements is 1.468 eV per atom. As for the space-group type: No. 221.


DFT (GGA-PBEsol) results for a geometry-optimized SrBi2Ru structure.

Lattice parameters (Å, degrees): 5.1203 5.1203 5.1203 60.00 60.00 60.00
With the nearest neighbours (Å) after each atom.
Fractional positions:
Ru1 0.5000 0.5000 0.5000  8 Bi 3.14
Bi1 0.2500 0.2500 0.2500  4 Ru 3.14, 4 Sr 3.14
Bi2 0.7500 0.7500 0.7500  4 Sr 3.14, 4 Ru 3.14
Sr1 0.0000 0.0000 0.0000  8 Bi 3.14

Computed properties:
Its formation energy from the elements is 0.046 eV per atom. As for the space-group type: No. 225.


DFT (GGA-PBEsol) results for a geometry-optimized TcBiRu3 structure.

Lattice parameters (Å, degrees): 4.5991 4.5991 4.5991 90.00 90.00 90.00
With the nearest neighbours (Å) after each atom.
Fractional positions:
Ru1 0.0000 0.5000 0.0000  2 Tc 2.30
Ru2 0.0000 0.0000 0.5000  2 Tc 2.30
Ru3 0.5000 0.0000 0.0000  2 Tc 2.30
Bi1 0.5000 0.5000 0.5000  12 Ru 3.25
Tc1 0.0000 0.0000 0.0000  6 Ru 2.30

Computed properties:
Its formation energy from the elements is 1.442 eV per atom. As for the space-group type: No. 221.


DFT (GGA-PBEsol) results for a geometry-optimized Bi3TeRu structure.

Lattice parameters (Å, degrees): 5.6798 5.6798 5.6798 90.00 90.00 90.00
With the nearest neighbours (Å) after each atom.
Fractional positions:
Ru1 0.5000 0.5000 0.5000  12 Bi 4.02
Te1 0.0000 0.0000 0.0000  6 Bi 2.84
Bi1 0.0000 0.5000 0.0000  2 Te 2.84
Bi2 0.0000 0.0000 0.5000  2 Te 2.84
Bi3 0.5000 0.0000 0.0000  2 Te 2.84

Computed properties:
As for the space-group type: No. 221. The raw formation energy is 1710 meV per atom.


DFT (GGA-PBEsol) results for a geometry-optimized ZnBi3Ru structure.

Lattice parameters (Å, degrees): 5.1421 5.1421 5.1421 90.00 90.00 90.00
With the nearest neighbours (Å) after each atom.
Fractional positions:
Ru1 0.5000 0.5000 0.5000  12 Bi 3.64
Zn1 0.0000 0.0000 0.0000  6 Bi 2.57
Bi1 0.0000 0.5000 0.0000  2 Zn 2.57
Bi2 0.0000 0.0000 0.5000  2 Zn 2.57
Bi3 0.5000 0.0000 0.0000  2 Zn 2.57

Computed properties:
Its formation energy from the elements is 1.252 eV per atom. As for the space-group type: No. 221.


DFT (GGA-PBEsol) results for a geometry-optimized ZrBi3Ru structure.

Lattice parameters (Å, degrees): 5.1807 5.1807 5.1807 90.00 90.00 90.00
With the nearest neighbours (Å) after each atom.
Fractional positions:
Ru1 0.0000 0.0000 0.0000  6 Bi 2.59
Bi1 0.0000 0.5000 0.0000  2 Ru 2.59
Bi2 0.0000 0.0000 0.5000  2 Ru 2.59
Bi3 0.5000 0.0000 0.0000  2 Ru 2.59
Zr1 0.5000 0.5000 0.5000  12 Bi 3.66

Computed properties:
Its formation energy from the elements is 0.730 eV per atom. As for the space-group type: No. 221.


DFT (GGA-PBEsol) results for a geometry-optimized Zr3BiRu structure.

Lattice parameters (Å, degrees): 4.9549 4.9549 4.9549 90.00 90.00 90.00
With the nearest neighbours (Å) after each atom.
Fractional positions:
Ru1 0.0000 0.0000 0.0000  6 Zr 2.48
Bi1 0.5000 0.5000 0.5000  12 Zr 3.50
Zr1 0.0000 0.5000 0.0000  2 Ru 2.48
Zr2 0.0000 0.0000 0.5000  2 Ru 2.48
Zr3 0.5000 0.0000 0.0000  2 Ru 2.48

Computed properties:
Its formation energy from the elements is 0.043 eV per atom. As for the space-group type: No. 221.


DFT (GGA-PBEsol) results for a geometry-optimized BiS2 structure.

Lattice parameters (Å, degrees): 3.9885 8.1229 9.0880 80.86 77.32 75.79
With the nearest neighbours (Å) after each atom.
Fractional positions:
S1 0.3469 0.4694 0.8368  3 Bi 2.66-2.76
S2 0.7852 0.0821 0.3474  3 Bi 2.66-2.82
S3 0.9235 0.6216 0.5314  1 S 2.05
S4 0.2148 0.9179 0.6526  3 Bi 2.66-2.82
S5 0.0364 0.8752 0.0521  1 S 2.08
S6 0.0765 0.3784 0.4686  1 S 2.05
S7 0.6531 0.5306 0.1632  3 Bi 2.66-2.76
S8 0.9636 0.1248 0.9479  1 S 2.08
Bi1 0.2925 0.3010 0.1140  5 S 2.66-2.92
Bi2 0.3998 0.8279 0.3725  5 S 2.66-2.85
Bi3 0.6002 0.1721 0.6275  5 S 2.66-2.85
Bi4 0.7075 0.6990 0.8860  5 S 2.66-2.92

Computed properties:
As for the space-group type: No. 12. The raw formation energy is -317 meV per atom.


DFT (GGA-PBEsol) results for a geometry-optimized BiSb2S structure.

Lattice parameters (Å, degrees): 5.1559 5.1559 5.1559 60.00 60.00 60.00
With the nearest neighbours (Å) after each atom.
Fractional positions:
Sb1 0.2500 0.2500 0.2500  4 S 3.16, 4 Bi 3.16
Sb2 0.7500 0.7500 0.7500  4 Bi 3.16, 4 S 3.16
S1 0.0000 0.0000 0.0000  8 Sb 3.16
Bi1 0.5000 0.5000 0.5000  8 Sb 3.16

Computed properties:
As for the space-group type: No. 225. The raw formation energy is 183 meV per atom.


DFT (GGA-PBEsol) results for a geometry-optimized ScBi3S structure.

Lattice parameters (Å, degrees): 5.4428 5.4428 5.4428 90.00 90.00 90.00
With the nearest neighbours (Å) after each atom.
Fractional positions:
Sc1 0.0000 0.0000 0.0000  6 Bi 2.72
S1 0.5000 0.5000 0.5000  12 Bi 3.85
Bi1 0.0000 0.5000 0.0000  2 Sc 2.72
Bi2 0.0000 0.0000 0.5000  2 Sc 2.72
Bi3 0.5000 0.0000 0.0000  2 Sc 2.72

Computed properties:
As for the space-group type: No. 221. The raw formation energy is 464 meV per atom.


DFT (GGA-PBEsol) results for a geometry-optimized Sc2BiS2 structure.

Lattice parameters (Å, degrees): 4.2230 4.2230 7.0622 107.40 107.40 90.00
With the nearest neighbours (Å) after each atom.
Fractional positions:
Sc1 0.3547 0.3547 0.7094  4 S 2.50
Sc2 0.6453 0.6453 0.2906  4 S 2.50
S1 0.2500 0.7500 0.5000  4 Sc 2.50
S2 0.7500 0.2500 0.5000  4 Sc 2.50
Bi1 0.0000 0.0000 0.0000  8 Sc 3.52, 8 S 3.83

Computed properties:
As for the space-group type: No. 139. The raw formation energy is -1132 meV per atom.


DFT (GGA-PBEsol) results for a geometry-optimized Bi2SeS structure.

Lattice parameters (Å, degrees): 6.5011 6.5011 6.5011 106.97 106.97 114.60
With the nearest neighbours (Å) after each atom.
Fractional positions:
S1 0.5000 0.5000 0.0000  4 Bi 2.82
S2 0.7500 0.2500 0.5000  4 Bi 2.82
Bi1 0.8638 0.8750 0.4888  2 S 2.82, 2 Se 2.93
Bi2 0.3862 0.3750 0.5112  2 S 2.82, 2 Se 2.93
Bi3 0.1250 0.6138 0.9888  2 S 2.82, 2 Se 2.93
Bi4 0.6250 0.1362 0.0112  2 S 2.82, 2 Se 2.93
Se1 0.0000 0.0000 0.0000  4 Bi 2.93
Se2 0.2500 0.7500 0.5000  4 Bi 2.93

Computed properties:
As for the space-group type: No. 122. The raw formation energy is -135 meV per atom.


DFT (GGA-PBEsol) results for a geometry-optimized Bi4Se3S3 structure.

Lattice parameters (Å, degrees): 4.0441 11.1770 11.3525 90.00 90.00 90.00
With the nearest neighbours (Å) after each atom.
Fractional positions:
Bi1 0.5000 0.2122 0.6678  2 S 2.75, 3 Se 2.76-3.07
Bi2 0.5000 0.7878 0.1678  2 S 2.75, 3 Se 2.76-3.07
Bi3 0.0000 0.2857 0.3314  5 Se 2.75-3.06
Bi4 0.0000 0.7143 0.8314  5 Se 2.75-3.06
Bi5 0.0000 0.9229 0.5118  4 S 2.72-2.91
Bi6 0.0000 0.0771 0.0118  4 S 2.72-2.91
Bi7 0.5000 0.5866 0.4942  3 S 2.71-2.88, 1 Se 2.90
Bi8 0.5000 0.4134 0.9942  3 S 2.71-2.88, 1 Se 2.90
Se1 0.5000 0.4547 0.2738  3 Bi 2.84-2.90
Se2 0.5000 0.5453 0.7738  3 Bi 2.84-2.90
Se3 0.0000 0.3836 0.5541  3 Bi 2.75-3.07
Se4 0.0000 0.6164 0.0541  3 Bi 2.75-3.07
Se5 0.5000 0.1159 0.4444  5 Bi 2.76-3.06
Se6 0.5000 0.8841 0.9444  5 Bi 2.76-3.06
S1 0.5000 0.8079 0.6245  3 Bi 2.72-2.88
S2 0.5000 0.1921 0.1245  3 Bi 2.72-2.88
S3 0.0000 0.6996 0.3801  3 Bi 2.71-2.91
S4 0.0000 0.3004 0.8801  3 Bi 2.71-2.91
S5 0.0000 0.0540 0.7179  3 Bi 2.75-2.76
S6 0.0000 0.9460 0.2179  3 Bi 2.75-2.76

Computed properties:
As for the space-group type: No. 26. The raw formation energy is -375 meV per atom.


DFT (GGA-PBEsol) results for a geometry-optimized BiSeS2 structure.

Lattice parameters (Å, degrees): 6.1387 6.1387 6.1387 107.04 107.04 114.45
With the nearest neighbours (Å) after each atom.
Fractional positions:
S1 0.8597 0.8750 0.4847  2 Se 2.64, 2 Bi 2.79
S2 0.3903 0.3750 0.5153  2 Se 2.64, 2 Bi 2.79
S3 0.6250 0.1403 0.0153  2 Se 2.64, 2 Bi 2.79
S4 0.1250 0.6097 0.9847  2 Se 2.64, 2 Bi 2.79
Bi1 0.2500 0.7500 0.5000  4 S 2.79
Bi2 0.0000 0.0000 0.0000  4 S 2.79
Se1 0.7500 0.2500 0.5000  4 S 2.64
Se2 0.5000 0.5000 0.0000  4 S 2.64

Computed properties:
As for the space-group type: No. 122. The raw formation energy is 156 meV per atom.


DFT (GGA-PBEsol) results for a geometry-optimized BiSeS2 structure.

Lattice parameters (Å, degrees): 3.5939 3.5939 8.8762 78.32 78.32 60.00
With the nearest neighbours (Å) after each atom.
Fractional positions:
S1 0.8916 0.8916 0.3251  3 Se 2.57, 1 Bi 2.81
S2 0.1084 0.1084 0.6749  3 Se 2.57, 1 Bi 2.81
Bi1 0.0000 0.0000 0.0000  2 S 2.81
Se1 0.5000 0.5000 0.5000  6 S 2.57

Computed properties:
As for the space-group type: No. 166. The raw formation energy is 250 meV per atom.


DFT (GGA-PBEsol) results for a geometry-optimized BiSeS3 structure.

Lattice parameters (Å, degrees): 4.7304 4.7304 4.7304 90.00 90.00 90.00
With the nearest neighbours (Å) after each atom.
Fractional positions:
S1 0.0000 0.5000 0.0000  2 Se 2.37
S2 0.0000 0.0000 0.5000  2 Se 2.37
S3 0.5000 0.0000 0.0000  2 Se 2.37
Bi1 0.5000 0.5000 0.5000  12 S 3.34
Se1 0.0000 0.0000 0.0000  6 S 2.37

Computed properties:
As for the space-group type: No. 221. The raw formation energy is 287 meV per atom.


DFT (GGA-PBEsol) results for a geometry-optimized SiBi3S structure.

Lattice parameters (Å, degrees): 5.2917 5.2917 5.2917 90.00 90.00 90.00
With the nearest neighbours (Å) after each atom.
Fractional positions:
S1 0.0000 0.0000 0.0000  6 Bi 2.65
Si1 0.5000 0.5000 0.5000  12 Bi 3.74
Bi1 0.0000 0.5000 0.0000  2 S 2.65
Bi2 0.0000 0.0000 0.5000  2 S 2.65
Bi3 0.5000 0.0000 0.0000  2 S 2.65

Computed properties:
As for the space-group type: No. 221. The raw formation energy is 695 meV per atom.


DFT (GGA-PBEsol) results for a geometry-optimized SiBi2TeS structure.

Lattice parameters (Å, degrees): 5.1078 5.3050 5.3050 90.00 90.00 90.00
With the nearest neighbours (Å) after each atom.
Fractional positions:
S1 0.0000 0.0000 0.0000  2 Te 2.55, 4 Bi 2.65
Te1 0.5000 0.0000 0.0000  2 S 2.55
Si1 0.5000 0.5000 0.5000  8 Bi 3.68, 4 Te 3.75
Bi1 0.0000 0.0000 0.5000  2 S 2.65
Bi2 0.0000 0.5000 0.0000  2 S 2.65

Computed properties:
As for the space-group type: No. 123. The raw formation energy is 709 meV per atom.


DFT (GGA-PBEsol) results for a geometry-optimized SmBiS3 structure.

Lattice parameters (Å, degrees): 3.9888 10.6971 10.8442 90.00 90.00 90.00
With the nearest neighbours (Å) after each atom.
Fractional positions:
Sm1 0.2500 0.1743 0.4891  7 S 2.72-2.90
Sm2 0.2500 0.3257 0.9891  7 S 2.72-2.90
Sm3 0.7500 0.8257 0.5109  7 S 2.72-2.90
Sm4 0.7500 0.6743 0.0109  7 S 2.72-2.90
Bi1 0.7500 0.4722 0.6768  5 S 2.68-2.99
Bi2 0.7500 0.0278 0.1768  5 S 2.68-2.99
Bi3 0.2500 0.5278 0.3232  5 S 2.68-2.99
Bi4 0.2500 0.9722 0.8232  5 S 2.68-2.99
S1 0.2500 0.6339 0.5471  3 Bi 2.68-2.99, 2 Sm 2.89
S2 0.2500 0.8661 0.0471  3 Bi 2.68-2.99, 2 Sm 2.89
S3 0.7500 0.3661 0.4529  3 Bi 2.68-2.99, 2 Sm 2.89
S4 0.7500 0.1339 0.9529  3 Bi 2.68-2.99, 2 Sm 2.89
S5 0.7500 0.0609 0.6178  3 Sm 2.72-2.77
S6 0.7500 0.4391 0.1178  3 Sm 2.72-2.77
S7 0.2500 0.9391 0.3822  3 Sm 2.72-2.77
S8 0.2500 0.5609 0.8822  3 Sm 2.72-2.77
S9 0.2500 0.3029 0.7243  2 Bi 2.74, 2 Sm 2.88-2.90
S10 0.2500 0.1971 0.2243  2 Bi 2.74, 2 Sm 2.88-2.90
S11 0.7500 0.6971 0.2757  2 Bi 2.74, 2 Sm 2.88-2.90
S12 0.7500 0.8029 0.7757  2 Bi 2.74, 2 Sm 2.88-2.90

Computed properties:
As for the space-group type: No. 62. The raw formation energy is -1250 meV per atom.


DFT (GGA-PBEsol) results for a geometry-optimized Sn3BiS structure.

Lattice parameters (Å, degrees): 5.7779 5.7779 5.7779 90.00 90.00 90.00
With the nearest neighbours (Å) after each atom.
Fractional positions:
S1 0.5000 0.5000 0.5000  12 Sn 4.09
Bi1 0.0000 0.0000 0.0000  6 Sn 2.89
Sn1 0.0000 0.5000 0.0000  2 Bi 2.89
Sn2 0.0000 0.0000 0.5000  2 Bi 2.89
Sn3 0.5000 0.0000 0.0000  2 Bi 2.89

Computed properties:
As for the space-group type: No. 221. The raw formation energy is 1016 meV per atom.


DFT (GGA-PBEsol) results for a geometry-optimized SrBiS3 structure.

Lattice parameters (Å, degrees): 5.1654 5.1654 5.1654 90.00 90.00 90.00
With the nearest neighbours (Å) after each atom.
Fractional positions:
Sr1 0.5000 0.5000 0.5000  12 S 3.65
S1 0.0000 0.5000 0.0000  2 Bi 2.58
S2 0.0000 0.0000 0.5000  2 Bi 2.58
S3 0.5000 0.0000 0.0000  2 Bi 2.58
Bi1 0.0000 0.0000 0.0000  6 S 2.58

Computed properties:
As for the space-group type: No. 221. The raw formation energy is -643 meV per atom.


DFT (GGA-PBEsol) results for a geometry-optimized TaBiS2 structure.

Lattice parameters (Å, degrees): 3.3347 3.3347 9.0849 79.42 79.42 60.00
With the nearest neighbours (Å) after each atom.
Fractional positions:
S1 0.8915 0.8915 0.3256  3 Ta 2.47
S2 0.1085 0.1085 0.6744  3 Ta 2.47
Bi1 0.0000 0.0000 0.0000  2 S 2.89
Ta1 0.5000 0.5000 0.5000  6 S 2.47

Computed properties:
As for the space-group type: No. 166. The raw formation energy is -764 meV per atom.


Record-wise total moment values, in μB per atom: 0.083 0.000 0.000 0.000 0.556 0.000 0.001 0.442 0.222 0.003 0.000 0.000 0.000 0.219 0.000 0.000 0.000 0.000 0.000 0.000 0.000 0.000 0.000 0.000 0.000 0.000